No. 1
An optimized crystal structure of SrCr2Au, computed with GGA-PBE.

POSCAR file:
```
SrCr2Au
1.0
4.470 0.000 0.000
0.000 4.470 0.000
0.000 0.000 9.075
Sr Cr Au
2 4 2
direct
0.000 0.000 0.000 Sr
0.500 0.500 0.500 Sr
0.000 0.000 0.500 Cr
0.000 0.500 0.250 Cr
0.500 0.000 0.750 Cr
0.500 0.500 0.000 Cr
0.000 0.500 0.750 Au
0.500 0.000 0.250 Au
```

Results
VASP energy = -5.48 eV/atom
Total magnetization = 9.21 μB/f.u.


No. 2
An optimized crystal structure of SrCr2Au, computed with GGA-PBE.

POSCAR file:
```
SrCr2Au
1.0
4.514 0.000 0.000
0.000 4.514 0.000
0.000 0.000 8.791
Sr Cr Au
2 4 2
direct
0.000 0.000 0.000 Sr
0.500 0.500 0.500 Sr
0.000 0.500 0.250 Cr
0.000 0.500 0.750 Cr
0.500 0.000 0.250 Cr
0.500 0.000 0.750 Cr
0.000 0.000 0.500 Au
0.500 0.500 0.000 Au
```

Results
VASP energy = -5.51 eV/atom
Total magnetization = 9.27 μB/f.u.


No. 3
An optimized crystal structure of SrCrAu2, computed with GGA-PBE.

POSCAR file:
```
SrCrAu2
1.0
3.581 0.000 0.000
0.000 3.606 0.000
0.000 0.000 6.966
Sr Cr Au
1 1 2
direct
0.000 0.000 0.000 Sr
0.000 0.000 0.500 Cr
0.500 0.500 0.296 Au
0.500 0.500 0.704 Au
```

Results
VASP energy = -4.63 eV/atom
Total magnetization = 4.55 μB/f.u.